ZnCuPb4 | PBE | relaxed

Cell: 9.0509 9.0509 9.0509 Å, 90.00 90.00 90.00°
With the nearest neighbours (Å) after each atom.
Space group F-43m (No. 216)
Symmetry-distinct sites (fractional):
Zn 0.0000 0.0000 0.0000 x4  12 Pb 3.75, 4 Cu 3.92
Cu 0.2500 0.2500 0.7500 x4  12 Pb 3.75, 4 Zn 3.92
Pb 0.1249 0.1249 0.3751 x16  6 Pb 3.20

ZnCu2Pb | PBE | relaxed

Cell: 6.5281 6.5281 6.5281 Å, 90.00 90.00 90.00°
With the nearest neighbours (Å) after each atom.
Space group F-43m (No. 216)
Symmetry-distinct sites (fractional):
Zn 0.0000 0.0000 0.0000 x4  4 Pb 2.83, 4 Cu 2.83
Cu 0.0000 0.0000 0.5000 x4  4 Pb 2.83, 4 Cu 2.83
Cu 0.2500 0.2500 0.2500 x4  4 Cu 2.83, 4 Zn 2.83
Pb 0.2500 0.2500 0.7500 x4  4 Cu 2.83, 4 Zn 2.83

Zn2CuPb | PBE | relaxed

Cell: 7.4070 4.2794 5.5866 Å, 90.00 116.51 90.00°
With the nearest neighbours (Å) after each atom.
Space group Cm (No. 8)
Symmetry-distinct sites (fractional):
Zn 0.0000 0.0000 0.0000 x2  3 Cu 2.47, 3 Zn 2.65
Zn 0.2309 0.5000 0.1918 x2  3 Zn 2.65, 3 Cu 2.65-2.66
Cu 0.3322 0.0000 0.9973 x2  6 Zn 2.47-2.66
Pb 0.0280 0.5000 0.5817 x2  4 Cu 2.92-3.24, 7 Zn 3.05-3.24

ZnCu2Pb | PBE | relaxed

Cell: 5.7168 6.1956 7.7126 Å, 90.00 90.00 90.00°
With the nearest neighbours (Å) after each atom.
Space group Fmmm (No. 69)
Symmetry-distinct sites (fractional):
Zn 0.0000 0.0000 0.0000 x4  8 Cu 2.86, 4 Pb 2.86-3.10
Cu 0.2500 0.2500 0.2500 x8  4 Pb 2.86, 4 Zn 2.86, 4 Cu 2.86-3.10
Pb 0.0000 0.0000 0.5000 x4  8 Cu 2.86, 4 Zn 2.86-3.10

ZnCuPb2 | PBE | relaxed

Cell: 12.0713 3.3824 4.9821 Å, 90.00 114.36 90.00°
With the nearest neighbours (Å) after each atom.
Space group Cm (No. 8)
Symmetry-distinct sites (fractional):
Zn 0.0000 0.0000 0.0000 x2  2 Cu 2.55
Cu 0.3268 0.0000 0.8237 x2  2 Zn 2.55
Pb 0.0865 0.5000 0.5868 x2  2 Cu 3.14, 4 Zn 3.16, 4 Pb 3.38-3.42
Pb 0.2991 0.5000 0.2969 x2  4 Cu 3.02-3.03, 2 Zn 3.32-3.34, 2 Pb 3.38

ZrCuPb4 | PBE | relaxed

Cell: 8.8615 8.8615 8.8615 Å, 90.00 90.00 90.00°
With the nearest neighbours (Å) after each atom.
Space group F-43m (No. 216)
Symmetry-distinct sites (fractional):
Zr 0.0000 0.0000 0.0000 x4  12 Pb 3.67, 4 Cu 3.84
Cu 0.2500 0.2500 0.7500 x4  12 Pb 3.68, 4 Zr 3.84
Pb 0.1256 0.1256 0.3744 x16  6 Pb 3.12-3.15

ZrCuPb2 | PBE | relaxed

Cell: 4.6219 4.6219 4.1816 Å, 90.00 90.00 90.00°
With the nearest neighbours (Å) after each atom.
Space group P4/mmm (No. 123)
Symmetry-distinct sites (fractional):
Zr 0.0000 0.0000 0.0000 x1  8 Pb 3.12, 4 Cu 3.27
Cu 0.5000 0.5000 0.0000 x1  8 Pb 3.12, 4 Zr 3.27
Pb 0.0000 0.5000 0.5000 x2  4 Zr 3.12, 4 Cu 3.12, 4 Pb 3.27

ZrCuPb2 | PBE | relaxed

Cell: 3.4694 5.2826 9.9691 Å, 90.00 90.00 90.00°
With the nearest neighbours (Å) after each atom.
Space group Immm (No. 71)
Symmetry-distinct sites (fractional):
Zr 0.0000 0.0000 0.0000 x2  4 Cu 3.16, 8 Pb 3.27-3.45, 2 Zr 3.47
Cu 0.0000 0.0000 0.5000 x2  4 Pb 2.81
Pb 0.0000 0.5000 0.2220 x4  2 Cu 2.81

ZrCuPb2 | PBE | relaxed

Cell: 3.3689 3.3689 30.1899 Å, 90.00 90.00 120.00°
With the nearest neighbours (Å) after each atom.
Space group R3m (No. 160, hexagonal axes)
Symmetry-distinct sites (fractional):
Zr 0.0000 0.0000 0.0000 x3  3 Cu 2.76
Cu 0.0000 0.0000 0.2687 x3  3 Zr 2.76, 3 Pb 2.93
Pb 0.0000 0.0000 0.5294 x3  3 Cu 2.93
Pb 0.0000 0.0000 0.7555 x3  3 Zr 3.31, 6 Pb 3.37

ZrCuPb2 | PBE | relaxed

Cell: 3.3038 3.3038 8.8607 Å, 90.00 90.00 90.00°
With the nearest neighbours (Å) after each atom.
Space group P4mm (No. 99)
Symmetry-distinct sites (fractional):
Zr 0.0000 0.0000 0.0000 x1  4 Cu 2.82
Cu 0.5000 0.5000 0.1779 x1  4 Zr 2.82, 4 Pb 3.02
Pb 0.0000 0.0000 0.3935 x1  4 Cu 3.02, 4 Pb 3.30
Pb 0.5000 0.5000 0.7423 x1  4 Zr 3.27, 4 Pb 3.30

ZrCuPb3 | PBE | relaxed

Cell: 5.6867 5.6867 5.6867 Å, 90.00 90.00 90.00°
With the nearest neighbours (Å) after each atom.
Space group Pm-3m (No. 221)
Symmetry-distinct sites (fractional):
Zr 0.0000 0.0000 0.0000 x1  6 Pb 2.84
Cu 0.5000 0.5000 0.5000 x1  12 Pb 4.02
Pb 0.0000 0.0000 0.5000 x3  2 Zr 2.84

ZrCuPb2 | PBE | relaxed

Cell: 7.2848 7.2848 7.2848 Å, 90.00 90.00 90.00°
With the nearest neighbours (Å) after each atom.
Space group F-43m (No. 216)
Symmetry-distinct sites (fractional):
Zr 0.0000 0.0000 0.0000 x4  4 Pb 3.15, 4 Cu 3.15
Cu 0.2500 0.2500 0.2500 x4  4 Zr 3.15, 4 Pb 3.15
Pb 0.0000 0.0000 0.5000 x4  4 Cu 3.15, 4 Pb 3.15
Pb 0.2500 0.2500 0.7500 x4  4 Zr 3.15, 4 Pb 3.15

ZrCuPb2 | PBE | relaxed

Cell: 3.6399 3.6399 6.7963 Å, 90.00 90.00 90.00°
With the nearest neighbours (Å) after each atom.
Space group P4/mmm (No. 123)
Symmetry-distinct sites (fractional):
Zr 0.0000 0.0000 0.0000 x1  8 Pb 3.17, 2 Cu 3.40
Cu 0.0000 0.0000 0.5000 x1  8 Pb 3.00
Pb 0.5000 0.5000 0.2725 x2  4 Cu 3.00, 1 Pb 3.09, 4 Zr 3.17

ZrCuPb2 | PBE | relaxed

Cell: 3.5513 4.6894 5.9732 Å, 90.00 107.18 90.00°
With the nearest neighbours (Å) after each atom.
Space group Pm (No. 6)
Symmetry-distinct sites (fractional):
Zr 0.0000 0.0000 0.0000 x1  2 Cu 2.87, 7 Pb 3.04-3.13
Cu 0.1484 0.5000 0.2899 x1  2 Zr 2.87, 6 Pb 3.00-3.09
Pb 0.4334 0.5000 0.8643 x1  3 Cu 3.00-3.28, 4 Zr 3.04
Pb 0.7258 0.0000 0.4518 x1  4 Cu 3.08-3.09, 3 Zr 3.13

ZrCuPb2 | PBE | relaxed

Cell: 4.1892 4.1892 10.2317 Å, 90.00 90.00 90.00°
With the nearest neighbours (Å) after each atom.
Space group I-4m2 (No. 119)
Symmetry-distinct sites (fractional):
Zr 0.0000 0.0000 0.0000 x2  8 Pb 2.96-3.31, 4 Cu 3.31
Cu 0.0000 0.5000 0.7500 x2  8 Pb 2.96-3.31, 4 Zr 3.31
Pb 0.0000 0.0000 0.5000 x2  4 Zr 2.96, 4 Pb 3.31, 4 Cu 3.31
Pb 0.0000 0.5000 0.2500 x2  4 Cu 2.96, 4 Zr 3.31, 4 Pb 3.31

ZrCuPb2 | PBE | relaxed

Cell: 4.3803 4.3803 9.4485 Å, 90.00 90.00 90.00°
With the nearest neighbours (Å) after each atom.
Space group I4/mmm (No. 139)
Symmetry-distinct sites (fractional):
Zr 0.0000 0.0000 0.0000 x2  4 Cu 3.10, 8 Pb 3.22
Cu 0.0000 0.0000 0.5000 x2  4 Zr 3.10, 8 Pb 3.22
Pb 0.0000 0.5000 0.2500 x4  4 Pb 3.10, 4 Zr 3.22, 4 Cu 3.22

ZrCuPb3 | PBE | relaxed

Cell: 5.1869 5.1869 5.1869 Å, 90.00 90.00 90.00°
With the nearest neighbours (Å) after each atom.
Space group Pm-3m (No. 221)
Symmetry-distinct sites (fractional):
Zr 0.0000 0.0000 0.0000 x1  12 Pb 3.67
Cu 0.5000 0.5000 0.5000 x1  6 Pb 2.59
Pb 0.0000 0.5000 0.5000 x3  2 Cu 2.59

ZrCuPb2 | PBE | relaxed

Cell: 11.3441 3.2867 5.2792 Å, 90.00 111.62 90.00°
With the nearest neighbours (Å) after each atom.
Space group Cm (No. 8)
Symmetry-distinct sites (fractional):
Zr 0.0000 0.0000 0.0000 x2  2 Cu 2.91, 7 Pb 3.08-3.21
Cu 0.2922 0.0000 0.6519 x2  2 Zr 2.91, 7 Pb 3.06-3.19
Pb 0.0363 0.5000 0.5229 x2  3 Cu 3.09-3.18, 4 Zr 3.11-3.16, 3 Pb 3.29-3.31
Pb 0.2592 0.5000 0.1402 x2  4 Cu 3.06-3.19, 3 Zr 3.08-3.21, 3 Pb 3.29-3.31

Zr4CuPb | PBE | relaxed

Cell: 8.1622 8.1622 8.1622 Å, 90.00 90.00 90.00°
With the nearest neighbours (Å) after each atom.
Space group F-43m (No. 216)
Symmetry-distinct sites (fractional):
Zr 0.1250 0.1250 0.1250 x16  6 Zr 2.88-2.89
Cu 0.2500 0.2500 0.7500 x4  12 Zr 3.38, 4 Pb 3.53
Pb 0.0000 0.0000 0.5000 x4  12 Zr 3.38, 4 Cu 3.53

ZrCuPb2 | PBE | relaxed

Cell: 4.4944 5.6375 7.2099 Å, 90.00 90.00 90.00°
With the nearest neighbours (Å) after each atom.
Space group Cmmm (No. 65)
Symmetry-distinct sites (fractional):
Zr 0.0000 0.0000 0.0000 x2  4 Pb 2.99
Cu 0.0000 0.0000 0.5000 x2  4 Pb 2.77
Pb 0.0000 0.5000 0.2746 x4  2 Cu 2.77, 2 Zr 2.99

ZrCuPb2 | PBE | relaxed

Cell: 3.5307 4.2375 6.2120 Å, 90.00 90.00 90.00°
With the nearest neighbours (Å) after each atom.
Space group Pmm2 (No. 25)
Symmetry-distinct sites (fractional):
Zr 0.0000 0.0000 0.0000 x1  5 Pb 2.92-3.05, 4 Cu 3.14
Cu 0.5000 0.5000 0.2416 x1  5 Pb 2.81-3.10, 4 Zr 3.14
Pb 0.0000 0.0000 0.4708 x1  1 Zr 2.92, 4 Cu 3.10
Pb 0.5000 0.5000 0.7890 x1  1 Cu 2.81, 4 Zr 3.05

ZrCuPb2 | PBE | relaxed

Cell: 7.7472 7.7472 6.2559 Å, 90.00 90.00 90.00°
With the nearest neighbours (Å) after each atom.
Space group I-42d (No. 122)
Symmetry-distinct sites (fractional):
Zr 0.0000 0.0000 0.0000 x4  8 Pb 3.09-3.44, 2 Cu 3.13
Cu 0.0000 0.0000 0.5000 x4  4 Pb 2.63
Pb 0.2069 0.7500 0.6250 x8  2 Cu 2.63

ZrCuPb2 | PBE | relaxed

Cell: 3.3215 3.3215 29.0921 Å, 90.00 90.00 120.00°
With the nearest neighbours (Å) after each atom.
Space group R-3m (No. 166, hexagonal axes)
Symmetry-distinct sites (fractional):
Zr 0.0000 0.0000 0.0000 x3  6 Pb 3.28, 6 Zr 3.32
Cu 0.0000 0.0000 0.5000 x3  6 Pb 2.91
Pb 0.0000 0.0000 0.2420 x6  3 Cu 2.91

ZrCuPb2 | PBE | relaxed

Cell: 3.2735 4.3978 6.5055 Å, 90.00 90.69 90.00°
With the nearest neighbours (Å) after each atom.
Space group P2/m (No. 10)
Symmetry-distinct sites (fractional):
Zr 0.0000 0.0000 0.0000 x1  8 Pb 3.18-3.20, 2 Zr 3.27
Cu 0.5000 0.0000 0.5000 x1  4 Pb 2.73
Pb 0.4880 0.5000 0.7497 x2  2 Cu 2.73

ZrCuPb2 | PBE | relaxed

Cell: 7.4460 7.2744 3.3695 Å, 90.00 90.28 90.00°
With the nearest neighbours (Å) after each atom.
Space group C2/m (No. 12)
Symmetry-distinct sites (fractional):
Zr 0.0000 0.0000 0.0000 x2  8 Pb 3.10-3.11, 2 Zr 3.37
Cu 0.0000 0.5000 0.0000 x2  8 Pb 3.10-3.11, 2 Cu 3.37
Pb 0.2500 0.2500 0.5000 x4  4 Zr 3.10-3.11, 4 Cu 3.10-3.11, 2 Pb 3.37

ZrCuPb2 | PBE | relaxed

Cell: 7.1900 7.1900 7.1900 Å, 90.00 90.00 90.00°
With the nearest neighbours (Å) after each atom.
Space group Fm-3m (No. 225)
Symmetry-distinct sites (fractional):
Zr 0.0000 0.0000 0.0000 x4  8 Pb 3.11
Cu 0.0000 0.0000 0.5000 x4  8 Pb 3.11
Pb 0.2500 0.2500 0.2500 x8  4 Zr 3.11, 4 Cu 3.11

Cu5Pd | PBE | relaxed

Cell: 4.2645 2.6831 13.2570 Å, 90.00 90.00 90.00°
With the nearest neighbours (Å) after each atom.
Space group Amm2 (No. 38)
Symmetry-distinct sites (fractional):
Cu 0.0000 0.0000 0.0000 x2  8 Cu 2.55-2.68, 4 Pd 2.62
Cu 0.0000 0.0000 0.3275 x2  10 Cu 2.55-2.68, 2 Pd 2.65
Cu 0.0000 0.0000 0.6635 x2  12 Cu 2.55-2.68
Cu 0.5000 0.0000 0.1165 x2  10 Cu 2.50-2.68, 2 Pd 2.63
Cu 0.5000 0.0000 0.7755 x2  10 Cu 2.50-2.68, 2 Pd 2.63
Pd 0.5000 0.0000 0.4461 x2  10 Cu 2.62-2.65, 2 Pd 2.68

Cu3Pd | PBE | relaxed

Cell: 3.7206 3.7206 3.7206 Å, 90.00 90.00 90.00°
With the nearest neighbours (Å) after each atom.
Space group Pm-3m (No. 221)
Symmetry-distinct sites (fractional):
Cu 0.0000 0.0000 0.5000 x3  8 Cu 2.63, 4 Pd 2.63
Pd 0.5000 0.5000 0.5000 x1  12 Cu 2.63

Cu3Pd2 | PBE | relaxed

Cell: 6.4302 2.6773 8.5912 Å, 90.00 111.71 90.00°
With the nearest neighbours (Å) after each atom.
Space group P2_1/m (No. 11)
Symmetry-distinct sites (fractional):
Cu 0.0542 0.2500 0.2644 x2  6 Cu 2.59-2.82, 6 Pd 2.60-2.72
Cu 0.3606 0.2500 0.8527 x2  5 Pd 2.61-2.68, 7 Cu 2.68-2.84
Cu 0.4261 0.7500 0.3621 x2  4 Pd 2.52-2.61, 7 Cu 2.58-2.68
Pd 0.2028 0.7500 0.5614 x2  8 Cu 2.60-2.72, 4 Pd 2.68-2.77
Pd 0.2045 0.7500 0.0505 x2  7 Cu 2.52-2.72, 4 Pd 2.68-2.79

Number 1: energy relative to the elements 0.561 eV/atom. Number 2: energy relative to the elements 0.333 eV/atom. Number 3: energy relative to the elements 0.097 eV/atom. Number 4: energy relative to the elements 0.245 eV/atom. Number 5: energy relative to the elements 0.202 eV/atom. Number 6: energy relative to the elements 0.628 eV/atom. Number 7: energy relative to the elements 0.086 eV/atom. Number 8: energy relative to the elements 0.185 eV/atom. Number 9: energy relative to the elements 0.130 eV/atom. Number 10: energy relative to the elements 0.035 eV/atom. Number 11: energy relative to the elements 0.757 eV/atom. Number 12: energy relative to the elements 0.377 eV/atom. Number 13: energy relative to the elements 0.186 eV/atom. Number 14: energy relative to the elements 0.068 eV/atom. Number 15: energy relative to the elements 0.074 eV/atom. Number 16: energy relative to the elements 0.159 eV/atom. Number 17: energy relative to the elements 0.560 eV/atom. Number 18: energy relative to the elements 0.048 eV/atom. Number 19: energy relative to the elements 0.390 eV/atom. Number 20: energy relative to the elements 0.133 eV/atom. Number 21: energy relative to the elements 0.118 eV/atom. Number 22: energy relative to the elements 0.223 eV/atom. Number 23: energy relative to the elements 0.162 eV/atom. Number 24: energy relative to the elements 0.150 eV/atom. Number 25: energy relative to the elements 0.099 eV/atom. Number 26: energy relative to the elements 0.331 eV/atom. Number 27: energy relative to the elements -0.037 eV/atom. Number 28: energy relative to the elements -0.103 eV/atom. Number 29: energy relative to the elements -0.035 eV/atom.